No. 1
{
  "formula": "Na2TbCuBr6",
  "functional": "PBE-GGA",
  "state": "optimized geometry",
  "e_form_raw_ev_per_atom": -1.3663,
  "lattice": [[-1.1504, -4.4658, -5.2642], [0.4264, -5.7075, 4.7488], [-10.6886, 0.9837, 2.1419]],
  "species": ["Br", "Br", "Na", "Br", "Br", "Br", "Br", "Na", "Na", "Cu", "Br", "Br", "Tb", "Na", "Cu", "Br", "Tb", "Br", "Br", "Br"],
  "frac_coords": [[0.3207, 0.7029, 0.4341], [0.3030, 0.6838, 0.0709], [0.5424, 0.5907, 0.7376], [0.8207, 0.7971, 0.9341], [0.3576, 0.9553, 0.7578], [0.1793, 0.2029, 0.0659], [0.8030, 0.8162, 0.5709], [0.0424, 0.9093, 0.2376], [0.4576, 0.4093, 0.2624], [0.5000, 0.0000, 0.5000], [0.1424, 0.4553, 0.7422], [0.8576, 0.5447, 0.2578], [0.0000, 0.5000, 0.5000], [0.9576, 0.0907, 0.7624], [0.0000, 0.5000, 0.0000], [0.6970, 0.3162, 0.9291], [0.5000, 0.0000, 0.0000], [0.6424, 0.0447, 0.2422], [0.1970, 0.1838, 0.4291], [0.6793, 0.2971, 0.5659]]
}



No. 2
{
  "formula": "Na3Tl3CuBr8",
  "functional": "PBE-GGA",
  "state": "optimized geometry",
  "e_form_raw_ev_per_atom": -0.9822,
  "lattice": [[-6.6464, -2.2698, 5.0793], [7.1560, -4.8866, -0.2152], [0.4531, 8.1686, 4.2433]],
  "species": ["Na", "Br", "Br", "Br", "Na", "Tl", "Br", "Tl", "Na", "Br", "Br", "Br", "Br", "Tl", "Cu"],
  "frac_coords": [[0.0000, 0.5000, 0.5000], [0.7705, 0.9823, 0.6936], [0.2109, 0.4218, 0.6929], [0.2118, 0.9823, 0.6936], [0.5000, 0.5000, 0.5000], [0.0000, 0.0000, 0.0000], [0.7891, 0.5782, 0.3071], [0.0000, 0.5000, 0.0000], [0.5000, 0.0000, 0.5000], [0.2617, 0.5234, 0.2857], [0.2295, 0.0177, 0.3064], [0.7882, 0.0177, 0.3064], [0.7383, 0.4766, 0.7143], [0.5000, 0.5000, 0.0000], [0.0000, 0.0000, 0.5000]]
}



No. 3
{
  "formula": "NaTlCuBr4",
  "functional": "PBE-GGA",
  "state": "optimized geometry",
  "e_form_raw_ev_per_atom": -0.7707,
  "lattice": [[7.3749, 0.0000, 0.1307], [0.0000, 6.8894, 0.0000], [-2.7249, 0.0000, 8.4891]],
  "species": ["Br", "Br", "Tl", "Br", "Cu", "Br", "Br", "Tl", "Cu", "Br", "Na", "Na", "Br", "Br"],
  "frac_coords": [[0.0042, 0.9924, 0.7327], [0.4370, 0.7500, 0.5818], [0.2806, 0.2500, 0.0680], [0.5630, 0.2500, 0.4182], [0.7780, 0.2500, 0.6796], [0.5747, 0.2500, 0.8546], [0.9958, 0.0076, 0.2673], [0.7194, 0.7500, 0.9320], [0.2220, 0.7500, 0.3204], [0.4253, 0.7500, 0.1454], [0.2478, 0.2500, 0.5626], [0.7522, 0.7500, 0.4374], [0.9958, 0.4924, 0.2673], [0.0042, 0.5076, 0.7327]]
}



No. 4
{
  "formula": "NaTl2CuBr4",
  "functional": "PBE-GGA",
  "state": "optimized geometry",
  "e_form_raw_ev_per_atom": -0.8085,
  "lattice": [[8.9618, 0.5391, -0.0356], [0.5328, 8.9622, -0.0356], [-4.6512, -4.6544, 6.7520]],
  "species": ["Tl", "Br", "Tl", "Na", "Na", "Br", "Br", "Br", "Cu", "Br", "Br", "Br", "Cu", "Tl", "Tl", "Br"],
  "frac_coords": [[0.5000, 0.5000, 0.0000], [0.8146, 0.2049, 0.0098], [0.0000, 0.0000, 0.5000], [0.0000, 0.5000, 0.5000], [0.0000, 0.5000, 0.0000], [0.2336, 0.2667, 0.5166], [0.7664, 0.7333, 0.4834], [0.7667, 0.7336, 0.0166], [0.5000, 0.5000, 0.5000], [0.1854, 0.7951, 0.9903], [0.7049, 0.3146, 0.5097], [0.2333, 0.2664, 0.9834], [0.0000, 0.0000, 0.0000], [0.5000, 0.0000, 0.5000], [0.5000, 0.0000, 0.0000], [0.2951, 0.6854, 0.4902]]
}